[1]
CeNp2SiN5, relaxed, DFT PBE; space group = P4/mbm (127); DOS(E_F) = 22.0 states/eV per cell
1.0
6.4342 0.0000 0.0000
0.0000 6.4342 0.0000
0.0000 0.0000 5.5514
Ce Np Si N
2 4 2 10
Cartesian
0.0000 0.0000 0.0000 Ce
3.2171 3.2171 0.0000 Ce
1.1354 2.0817 2.7757 Np
2.0817 5.2988 2.7757 Np
4.3525 1.1354 2.7757 Np
5.2988 4.3525 2.7757 Np
0.0000 3.2171 0.0000 Si
3.2171 0.0000 0.0000 Si
0.0000 0.0000 2.7757 N
0.9095 4.1266 1.2721 N
0.9095 4.1266 4.2794 N
2.3076 0.9095 1.2721 N
2.3076 0.9095 4.2794 N
3.2171 3.2171 2.7757 N
4.1266 5.5247 1.2721 N
4.1266 5.5247 4.2794 N
5.5247 2.3076 1.2721 N
5.5247 2.3076 4.2794 N

---

[2]
Ba4Bi2S, relaxed, DFT PBE; space group = C2/m (12)
1.0
14.3620 0.0000 0.0000
0.0000 4.8729 0.0000
-4.2576 0.0000 8.4922
Ba Bi S
8 4 2
Cartesian
-0.5154 0.0000 3.1961 Ba
2.0246 2.4365 0.5498 Ba
0.8988 0.0000 7.9424 Ba
3.4388 2.4365 5.2961 Ba
6.6656 2.4365 3.1961 Ba
9.2056 0.0000 0.5498 Ba
8.0798 2.4365 7.9424 Ba
10.6198 0.0000 5.2961 Ba
-0.6857 2.4365 5.8263 Bi
3.6090 0.0000 2.6659 Bi
6.4954 0.0000 5.8263 Bi
10.7901 2.4365 2.6659 Bi
0.0000 0.0000 0.0000 S
7.1810 2.4365 0.0000 S

---

[3]
LaHo2Ge, relaxed, DFT PBE; space group = R-3m (166); DOS(E_F) = 17.1 states/eV per cell
1.0
3.7559 0.0000 0.0000
-1.8779 3.2527 0.0000
0.0000 0.0000 29.6860
La Ho Ge
3 6 3
Cartesian
0.0000 0.0000 0.0000 La
0.0000 2.1684 19.7907 La
1.8779 1.0842 9.8953 La
0.0000 0.0000 6.8388 Ho
0.0000 0.0000 22.8472 Ho
0.0000 2.1684 12.9519 Ho
0.0000 2.1684 26.6295 Ho
1.8779 1.0842 3.0565 Ho
1.8779 1.0842 16.7341 Ho
0.0000 0.0000 14.8430 Ge
0.0000 2.1684 4.9477 Ge
1.8779 1.0842 24.7383 Ge

---

[4]
NbPPd, relaxed, DFT PBE; space group = Cm (8); DOS(E_F) = 5.1 states/eV per cell
1.0
9.3513 0.0000 0.0000
0.0000 3.3862 0.0000
-1.4526 0.0000 5.9792
Nb P Pd
4 4 4
Cartesian
0.0000 0.0000 0.0000 Nb
0.1833 0.0000 3.3321 Nb
4.6756 1.6931 0.0000 Nb
4.8589 1.6931 3.3321 Nb
0.9761 1.6931 1.6448 P
2.8572 0.0000 4.0917 P
5.6517 0.0000 1.6448 P
7.5328 1.6931 4.0917 P
0.7494 1.6931 5.4409 Pd
2.8627 0.0000 1.7220 Pd
5.4250 0.0000 5.4409 Pd
7.5383 1.6931 1.7220 Pd

---

[5]
CrTe2RuI, relaxed, DFT PBE; space group = P4/mmm (123); DOS(E_F) = 10.9 states/eV per cell; polymorph energy (0 for the lowest one) = 0 meV/atom
1.0
4.9645 0.0000 0.0000
0.0000 4.9645 0.0000
0.0000 0.0000 5.5918
Cr Te Ru I
1 2 1 1
Cartesian
0.0000 0.0000 0.0000 Cr
0.0000 2.4822 0.0000 Te
2.4822 0.0000 0.0000 Te
2.4822 2.4822 2.7959 Ru
0.0000 0.0000 2.7959 I

---

[6]
SbMoRh3, relaxed, DFT PBE; space group = Pm-3m (221); DOS(E_F) = 15.7 states/eV per cell; polymorph energy (0 for the lowest one) = 575 meV/atom
1.0
4.7230 0.0000 0.0000
0.0000 4.7230 0.0000
0.0000 0.0000 4.7230
Sb Mo Rh
1 1 3
Cartesian
0.0000 0.0000 0.0000 Sb
2.3615 2.3615 2.3615 Mo
0.0000 0.0000 2.3615 Rh
0.0000 2.3615 0.0000 Rh
2.3615 0.0000 0.0000 Rh

---

Number 1: E -176.03 eV per cell, spin magnetization 6.6 μB/f.u.. Number 2: E -55.47 eV per cell, spin magnetization 0.0 μB/f.u.. Number 3: E -59.05 eV per cell, spin magnetization 0.0 μB/f.u.. Number 4: E -89.45 eV per cell, spin magnetization 0.0 μB/f.u.. Number 5: E -20.87 eV per cell, spin magnetization 3.1 μB/f.u.. Number 6: E -29.52 eV per cell, spin magnetization 0.0 μB/f.u..